No. 1
Sm4CdAgAu2 after structural relaxation, computed with PBE.

Lattice parameters (Å, degrees): 5.2451 5.2451 9.1065 73.26 73.26 60.00
With the nearest neighbours (Å) after each atom.
Fractional coordinates of all 8 atoms:
Sm1 0.1274 0.1274 0.6177  3 Ag 3.19, 4 Au 3.27-3.28, 1 Cd 3.28
Sm2 0.3780 0.3780 0.8661  1 Ag 3.14, 4 Au 3.15-3.18, 3 Cd 3.24
Sm3 0.6220 0.6220 0.1339  1 Ag 3.14, 4 Au 3.15-3.18, 3 Cd 3.24
Sm4 0.8726 0.8726 0.3823  3 Ag 3.19, 4 Au 3.27-3.28, 1 Cd 3.28
Cd1 0.0000 0.0000 0.0000  8 Sm 3.24-3.28
Au1 0.2544 0.2544 0.2367  8 Sm 3.15-3.28
Au2 0.7456 0.7456 0.7633  8 Sm 3.15-3.28
Ag1 0.5000 0.5000 0.5000  8 Sm 3.14-3.19

## Properties
density of states at the Fermi level	0.7687	states/eV/atom
electronic total energy	-4.187	eV per atom
formation enthalpy at 0 K	-0.537	eV/atom
magnetization	0.000	μB/atom

---

No. 2
NaSi6Pd12 after structural relaxation, computed with PBE.

Lattice parameters (Å, degrees): 7.1177 7.1177 7.1177 105.65 105.65 105.65
With the nearest neighbours (Å) after each atom.
Fractional coordinates of all 19 atoms:
Si1 0.7499 0.3150 0.7499  7 Pd 2.40-2.51
Si2 0.6850 0.2501 0.2501  7 Pd 2.40-2.51
Si3 0.2501 0.6850 0.2501  7 Pd 2.40-2.51
Si4 0.7499 0.7499 0.3150  7 Pd 2.40-2.51
Si5 0.3150 0.7499 0.7499  7 Pd 2.40-2.51
Si6 0.2501 0.2501 0.6850  7 Pd 2.40-2.51
Na1 0.0000 0.0000 0.0000  6 Pd 3.41, 6 Si 3.74
Pd1 0.1264 0.5000 0.8736  4 Si 2.43-2.44
Pd2 0.5000 0.1264 0.8736  4 Si 2.43-2.44
Pd3 0.4386 0.1740 0.4386  3 Si 2.40-2.51
Pd4 0.5614 0.8260 0.5614  3 Si 2.40-2.51
Pd5 0.5614 0.5614 0.8260  3 Si 2.40-2.51
Pd6 0.8736 0.5000 0.1264  4 Si 2.43-2.44
Pd7 0.1740 0.4386 0.4386  3 Si 2.40-2.51
Pd8 0.8736 0.1264 0.5000  4 Si 2.43-2.44
Pd9 0.4386 0.4386 0.1740  3 Si 2.40-2.51
Pd10 0.1264 0.8736 0.5000  4 Si 2.43-2.44
Pd11 0.5000 0.8736 0.1264  4 Si 2.43-2.44
Pd12 0.8260 0.5614 0.5614  3 Si 2.40-2.51

## Properties
energy relative to the elements, uncorrected	-0.5876	eV per atom
density of states at the Fermi level	0.2597	states/eV/atom
electronic total energy	-5.649	eV per atom
magnetization	0.000	μB/atom

---

No. 3
CoWBr after structural relaxation, computed with PBE.

Lattice parameters (Å, degrees): 4.3215 4.3215 2.8962 90.00 90.00 120.00
With the nearest neighbours (Å) after each atom.
Fractional coordinates of all 3 atoms:
W1 0.3333 0.6667 0.8336  3 Br 2.50
Br1 0.0000 0.0000 0.8334  3 W 2.50
Co1 0.6667 0.3333 0.3330  6 W 2.88-2.89, 6 Br 2.88-2.89, 2 Co 2.90

## Properties
energy relative to the elements, uncorrected	1.0627	eV per atom
distance to the lowest polymorph of the same formula	400	meV per atom
density of states at the Fermi level	0.9181	states/eV/atom
electronic total energy	-6.181	eV per atom
magnetization	0.371	μB/atom

---

No. 4
TaHN2 after structural relaxation, computed with PBE.

Lattice parameters (Å, degrees): 5.0563 5.0563 5.0563 36.20 36.20 36.20
With the nearest neighbours (Å) after each atom.
Fractional coordinates of all 4 atoms:
H1 0.0000 0.0000 0.0000  2 N 1.28
N1 0.0906 0.0906 0.0906  1 H 1.28
N2 0.9094 0.9094 0.9094  1 H 1.28
Ta1 0.5000 0.5000 0.5000  6 N 2.11

## Properties
distance to the lowest polymorph of the same formula	0	meV per atom
density of states at the Fermi level	0.0000	states/eV/atom
electronic total energy	-8.575	eV per atom
magnetization	0.000	μB/atom